(1)
# Pa2TlBi

Pa2TlBi after structural relaxation (PBE, the Alexandria database).

a b c (Å): 5.3962 5.3962 5.3962
angles (deg): 60.00 60.00 60.00
Positions (direct):
Tl1 0.5000 0.5000 0.5000
Pa1 0.7500 0.7500 0.7500
Pa2 0.2500 0.2500 0.2500
Bi1 0.0000 0.0000 0.0000

Computed properties:
The value obtained for the energy above the lowest structure with this stoichiometry is 0.0654 eV per atom. Its density of states at the Fermi level is 11.71 states/eV/f.u. For the formation energy, the calculation gives 0.204 eV per atom.



(2)
# Pm9Pr4Mg11

Pm9Pr4Mg11 after structural relaxation (PBE, the Alexandria database).

a b c (Å): 3.7405 14.2677 14.2677
angles (deg): 110.18 90.00 90.00
Positions (direct):
Mg1 0.0000 0.4104 0.0538
Mg2 0.0000 0.2180 0.2180
Mg3 0.0000 0.0538 0.4104
Mg4 0.0000 0.6387 0.3613
Mg5 0.0000 0.7820 0.7820
Mg6 0.0000 0.1783 0.8217
Mg7 0.0000 0.8217 0.1783
Mg8 0.0000 0.3613 0.6387
Mg9 0.0000 0.0000 0.0000
Mg10 0.0000 0.5896 0.9462
Mg11 0.0000 0.9462 0.5896
Pr1 0.5000 0.5738 0.7463
Pr2 0.5000 0.7463 0.5738
Pr3 0.5000 0.4262 0.2537
Pr4 0.5000 0.2537 0.4262
Pm1 0.5000 0.5000 0.5000
Pm2 0.5000 0.2066 0.0211
Pm3 0.5000 0.8520 0.3806
Pm4 0.5000 0.7934 0.9789
Pm5 0.5000 0.0211 0.2066
Pm6 0.5000 0.9789 0.7934
Pm7 0.5000 0.3806 0.8520
Pm8 0.5000 0.1480 0.6194
Pm9 0.5000 0.6194 0.1480

Computed properties:
Its density of states at the Fermi level is 22.78 states/eV/f.u. For the formation energy, the calculation gives -0.056 eV per atom.



Quick rundown of calculated total energy, same order as above: -6.105; -3.365 eV per atom